# 1
# PmTmGaRu | Alexandria via LeMat-Bulk | PBE-GGA | relaxed
data_PmTmGaRu
_space_group_name_H-M_alt 'P 1'
_space_group_IT_number 1
_space_group_name_Hall 'P 1'
_cell_length_a 4.307
_cell_length_b 5.713
_cell_length_c 5.713
_cell_angle_alpha 40.68
_cell_angle_beta 90.00
_cell_angle_gamma 90.00
loop_
_atom_site_label
_atom_site_type_symbol
_atom_site_fract_x
_atom_site_fract_y
_atom_site_fract_z
Pm1 Pm 0.000 0.000 0.000
Tm1 Tm 0.500 0.286 0.286
Ga1 Ga 0.500 0.585 0.585
Ru1 Ru 0.000 0.721 0.721
# calculated density	8.8	g cm⁻³
# formation energy	-176	kJ/mol of formula units
# energy above the most stable polymorph in this dataset	0.0	meV/atom
# space group	Amm2 (38)

# 2
# PmYGaRu | Alexandria via LeMat-Bulk | PBE-GGA | relaxed
data_PmYGaRu
_space_group_name_H-M_alt 'P 1'
_space_group_IT_number 1
_space_group_name_Hall 'P 1'
_cell_length_a 4.377
_cell_length_b 5.743
_cell_length_c 5.743
_cell_angle_alpha 40.65
_cell_angle_beta 90.00
_cell_angle_gamma 90.00
loop_
_atom_site_label
_atom_site_type_symbol
_atom_site_fract_x
_atom_site_fract_y
_atom_site_fract_z
Pm1 Pm 0.000 0.000 0.000
Y1 Y 0.500 0.716 0.716
Ga1 Ga 0.500 0.420 0.420
Ru1 Ru 0.000 0.289 0.289
# calculated density	7.1	g cm⁻³
# formation energy	-171	kJ/mol of formula units
# energy above the most stable polymorph in this dataset	0.0	meV/atom
# space group	Amm2 (38)

# 3
# PmYGaRu | Alexandria via LeMat-Bulk | PBE-GGA | relaxed
data_PmYGaRu
_space_group_name_H-M_alt 'P 1'
_space_group_IT_number 1
_space_group_name_Hall 'P 1'
_cell_length_a 5.008
_cell_length_b 5.008
_cell_length_c 5.008
_cell_angle_alpha 60.00
_cell_angle_beta 60.00
_cell_angle_gamma 60.00
loop_
_atom_site_label
_atom_site_type_symbol
_atom_site_fract_x
_atom_site_fract_y
_atom_site_fract_z
Pm1 Pm 0.000 0.000 0.000
Y1 Y 0.500 0.500 0.500
Ga1 Ga 0.250 0.250 0.250
Ru1 Ru 0.750 0.750 0.750
# calculated density	7.6	g cm⁻³
# formation energy	-150	kJ/mol of formula units
# energy above the most stable polymorph in this dataset	56.4	meV/atom
# space group	F-43m (216)

# 4
# PmZnGaRu | Alexandria via LeMat-Bulk | PBE-GGA | relaxed
data_PmZnGaRu
_space_group_name_H-M_alt 'P 1'
_space_group_IT_number 1
_space_group_name_Hall 'P 1'
_cell_length_a 5.656
_cell_length_b 5.656
_cell_length_c 5.656
_cell_angle_alpha 44.48
_cell_angle_beta 44.48
_cell_angle_gamma 44.48
loop_
_atom_site_label
_atom_site_type_symbol
_atom_site_fract_x
_atom_site_fract_y
_atom_site_fract_z
Pm1 Pm 0.000 0.000 0.000
Zn1 Zn 0.208 0.208 0.208
Ga1 Ga 0.789 0.789 0.789
Ru1 Ru 0.473 0.473 0.473
# calculated density	7.8	g cm⁻³
# formation energy	-124	kJ/mol of formula units
# energy above the most stable polymorph in this dataset	0.0	meV/atom
# space group	R3m (160)

- The lowest formation energy belongs to which entry?
  PmTmGaRu

- Among the records above, which one has the highest calculated density?
  PmTmGaRu